FeCo2Au: relaxed, PBE.

abc: 4.472 4.472 4.642
angles: 78.91 78.91 35.24
Site moments in Bohr magnetons follow the coordinates.
Atoms (fractional coordinates):
Au  0.250  0.250  0.250  0.03
Co  0.008  0.008  0.968  1.68
Co  0.492  0.492  0.532  1.68
Fe  0.750  0.750  0.750  2.69

energy relative to the lowest polymorph listed for this composition: 64 meV per atom
DOS at the Fermi energy: 3.90 states/eV/cell
DFT total energy: -6.32 eV/atom